[1]
MoRuRh: relaxed, GGA-PBE.

Properties
Energy relative to the elements: 0.019 eV per atom
VASP energy: -9.134 eV/atom
Magnetization: 0.00 μB/cell

Structure (POSCAR):
```
MoRuRh
1.0
2.7425 0.0000 0.0000
-1.3712 2.3751 0.0000
0.0000 0.0000 6.7615
Mo Ru Rh
1 1 1
Cartesian
0.0000 0.0000 0.0000
1.3712 0.7917 4.5697
0.0000 1.5834 2.2551
```


[2]
Ac2Tl3Si2: relaxed, GGA-PBE.

Properties
Uncorrected formation energy: -0.37 eV per atom
VASP energy: -4.109 eV/atom
Magnetization: 0.00 μB/cell

Structure (POSCAR):
```
Ac2Tl3Si2
1.0
2.0140 -11.0800 0.0000
2.0140 11.0800 0.0000
0.0000 0.0000 4.5686
Ac Tl Si
2 3 2
Cartesian
2.0140 7.3360 0.0000
2.0140 -7.3360 0.0000
0.0000 0.0000 0.0000
2.0140 1.6495 2.2843
2.0140 -1.6495 2.2843
2.0140 4.8592 2.2843
2.0140 -4.8592 2.2843
```


[3]
RbGaHgI4: relaxed, GGA-PBE.

Properties
Uncorrected formation energy: -0.74 eV per atom
VASP energy: -2.237 eV/atom
Magnetization: 0.00 μB/cell

Structure (POSCAR):
```
RbGaHgI4
1.0
9.9263 -4.2115 0.0000
9.9263 4.2115 0.0000
-2.5538 0.0000 8.4459
Rb Ga Hg I
2 2 2 8
Cartesian
3.6404 0.0000 2.0730
13.6583 0.0000 6.3729
1.2442 0.0000 5.8803
16.0545 0.0000 2.5656
9.0102 0.0000 1.5014
8.2885 0.0000 6.9445
-0.8702 0.0000 7.3519
6.0811 2.1244 4.1085
3.3692 0.0000 7.4029
11.2176 2.1244 4.3374
6.0811 -2.1244 4.1085
13.9295 0.0000 1.0430
11.2176 -2.1244 4.3374
18.1689 0.0000 1.0939
```


[4]
ZnSn2MoAu: relaxed, GGA-PBE.

Properties
Energy relative to the elements: 0.984 eV per atom
VASP energy: -3.694 eV/atom
Magnetization: 3.82 μB/cell

Structure (POSCAR):
```
ZnSn2MoAu
1.0
5.1186 0.0000 0.0000
0.0000 5.1186 0.0000
0.0000 0.0000 4.7965
Zn Sn Mo Au
1 2 1 1
Cartesian
0.0000 0.0000 0.0000
0.0000 2.5593 0.0000
2.5593 0.0000 0.0000
2.5593 2.5593 2.3983
0.0000 0.0000 2.3983
```


[5]
NdTm3Rh: relaxed, GGA-PBE.

Properties
Energy relative to the elements: -0.295 eV per atom
VASP energy: -5.402 eV/atom
Magnetization: 0.00 μB/cell

Structure (POSCAR):
```
NdTm3Rh
1.0
5.3556 0.0000 0.0000
0.0000 5.3556 0.0000
0.0000 0.0000 5.3556
Nd Tm Rh
1 3 1
Cartesian
0.0000 0.0000 0.0000
0.0000 2.6778 2.6778
2.6778 0.0000 2.6778
2.6778 2.6778 0.0000
2.6778 2.6778 2.6778
```


[6]
CaReTe2: relaxed, GGA-PBE.

Properties
Uncorrected formation energy: 0.40 eV per atom
VASP energy: -4.784 eV/atom
Magnetization: 2.87 μB/cell

Structure (POSCAR):
```
CaReTe2
1.0
-2.1223 2.1223 5.4392
2.1223 -2.1223 5.4392
2.1223 2.1223 -5.4392
Ca Re Te
1 1 2
Cartesian
0.0000 0.0000 0.0000
2.1223 0.0000 2.7196
0.0000 0.0000 5.4392
0.0000 2.1223 2.7196
```


[7]
Ho12Tl6Co: relaxed, GGA-PBE.

Properties
Energy relative to the elements: -0.142 eV per atom
VASP energy: -4.154 eV/atom
Magnetization: 0.00 μB/cell

Structure (POSCAR):
```
Ho12Tl6Co
1.0
6.0535 3.4950 4.3980
-6.0535 3.4950 4.3980
0.0000 -6.9900 4.3980
Ho Tl Co
12 6 1
Cartesian
-4.0387 -3.8844 7.2083
-5.3833 1.5554 5.9858
-2.0346 -0.3392 5.1392
1.3446 -5.4398 5.9858
1.3110 -1.5924 5.1392
-0.7235 -1.9316 8.0549
0.7235 1.9316 5.1392
-1.3110 1.5924 8.0549
-1.3446 5.4398 7.2083
2.0346 0.3392 8.0549
5.3833 -1.5554 7.2083
4.0387 3.8844 5.9858
-1.3237 -3.4113 5.3915
-3.6161 -0.5593 7.8026
-2.2924 2.8519 5.3915
2.2924 -2.8519 7.8026
3.6161 0.5593 5.3915
1.3237 3.4112 7.8026
0.0000 0.0000 0.0000
```


[8]
BaSmAg2: relaxed, GGA-PBE.

Properties
Energy relative to the elements: -0.167 eV per atom
VASP energy: -3.253 eV/atom
Magnetization: 0.00 μB/cell

Structure (POSCAR):
```
BaSmAg2
1.0
5.5707 0.0000 0.0000
0.0000 5.5707 0.0000
0.0000 0.0000 3.7993
Ba Sm Ag
1 1 2
Cartesian
0.0000 0.0000 0.0000
2.7854 2.7854 0.0000
0.0000 2.7854 1.8996
2.7854 0.0000 1.8996
```